Here is a relaxed Rb3TiH crystal from Alexandria via LeMat-Bulk. Energies are from GGA-PBEsol.

abc: 6.726 6.726 6.726
angles: 90.00 90.00 90.00
Space group Pm-3m (No. 221)
Inequivalent atoms, fractional coordinates:
Rb1 0.000 0.000 0.500 (multiplicity 3)
Ti1 0.000 0.000 0.000 (multiplicity 1)
H1 0.500 0.500 0.500 (multiplicity 1)

Values from the calculation:
- V: 60.857 Å³/atom
- Uncorrected energy: -1.76 eV/atom
- ρ: 1.67 Mg/m³
- D(E_F): 10.2 states/eV/f.u.

***

Here is a relaxed NiPtRh crystal from Alexandria via LeMat-Bulk. Energies are from GGA-PBEsol.

abc: 5.615 5.615 5.615
angles: 90.00 90.00 90.00
Space group F-43m (No. 216)
Inequivalent atoms, fractional coordinates:
Ni1 0.000 0.000 0.000 (multiplicity 4)
Pt1 0.250 0.250 0.250 (multiplicity 4)
Rh1 0.250 0.250 0.750 (multiplicity 4)

Values from the calculation:
- V: 14.755 Å³/atom
- Uncorrected energy: -6.69 eV/atom
- Excess energy over the best structure of this formula in the dataset: 403.5 meV/atom
- Formation enthalpy at 0 K: 0.40 eV per atom
- ρ: 13.38 Mg/m³
- D(E_F): 4.3 states/eV/f.u.

***

Here is a relaxed SiIrOs crystal from Alexandria via LeMat-Bulk. Energies are from GGA-PBEsol.

abc: 5.783 5.783 5.783
angles: 90.00 90.00 90.00
Space group F-43m (No. 216)
Inequivalent atoms, fractional coordinates:
Si1 0.000 0.000 0.000 (multiplicity 4)
Ir1 0.000 0.000 0.500 (multiplicity 4)
Os1 0.250 0.250 0.250 (multiplicity 4)

Values from the calculation:
- V: 16.115 Å³/atom
- Uncorrected energy: -9.06 eV/atom
- Excess energy over the best structure of this formula in the dataset: 409.5 meV/atom
- ρ: 14.10 Mg/m³
- D(E_F): 4.0 states/eV/f.u.
- Formation energy without anion corrections: 0.2041 eV/atom

***

Here is a relaxed LiSi2Ru crystal from Alexandria via LeMat-Bulk. Energies are from GGA-PBEsol.

abc: 9.066 2.869 3.986
angles: 90.00 91.96 90.00
Space group Cm (No. 8)
Inequivalent atoms, fractional coordinates:
Li1 0.000 0.000 0.000 (multiplicity 2)
Si1 0.076 0.500 0.500 (multiplicity 2)
Si2 0.240 0.500 0.957 (multiplicity 2)
Ru1 0.302 0.000 0.439 (multiplicity 2)

Values from the calculation:
- V: 12.953 Å³/atom
- Uncorrected energy: -6.25 eV/atom
- Excess energy over the best structure of this formula in the dataset: 0.0 meV/atom
- ρ: 5.26 Mg/m³
- D(E_F): 0.8 states/eV/f.u.
- Formation energy without anion corrections: -0.3379 eV/atom

***

Here is a relaxed Co5SbO8 crystal from Alexandria via LeMat-Bulk. Energies are from GGA-PBEsol.

abc: 5.7228 5.7228 14.6736
angles: 90.00 90.00 120.00
Space group R-3m (No. 166, hexagonal axes)
Inequivalent atoms, fractional coordinates:
Co1 0.0000 0.0000 0.1374 (multiplicity 6)
Co2 0.0000 0.5000 0.0000 (multiplicity 9)
Sb1 0.0000 0.0000 0.5000 (multiplicity 3)
O1 0.0000 0.0000 0.2657 (multiplicity 6)
O2 0.0202 0.5101 0.2571 (multiplicity 18)

Values from the calculation:
- V: 9.909 Å³/atom
- Uncorrected energy: -7.04 eV/atom
- ρ: 6.52 Mg/m³
- D(E_F): 5.6 states/eV/f.u.
- Formation energy without anion corrections: -0.9500 eV/atom

***

Here is a relaxed Zr2FeIr crystal from Alexandria via LeMat-Bulk. Energies are from GGA-PBEsol.

abc: 3.212 3.212 6.387
angles: 90.00 90.00 90.00
Space group P4/mmm (No. 123)
Inequivalent atoms, fractional coordinates:
Zr1 0.000 0.000 0.241 (multiplicity 2)
Fe1 0.500 0.500 0.000 (multiplicity 1)
Ir1 0.500 0.500 0.500 (multiplicity 1)

Values from the calculation:
- V: 16.474 Å³/atom
- Uncorrected energy: -9.77 eV/atom
- Formation enthalpy at 0 K: -0.53 eV per atom
- ρ: 10.85 Mg/m³
- D(E_F): 2.4 states/eV/f.u.

***

Here is a relaxed GaNi crystal from Alexandria via LeMat-Bulk. Energies are from GGA-PBEsol.

abc: 2.872 2.872 2.872
angles: 90.00 90.00 90.00
Space group Pm-3m (No. 221)
Inequivalent atoms, fractional coordinates:
Ga1 0.000 0.000 0.000 (multiplicity 1)
Ni1 0.500 0.500 0.500 (multiplicity 1)

Values from the calculation:
- V: 11.845 Å³/atom
- Uncorrected energy: -5.17 eV/atom
- Formation enthalpy at 0 K: -0.42 eV per atom
- ρ: 9.00 Mg/m³
- D(E_F): 0.8 states/eV/f.u.

***

Here is a relaxed Cr5P4O16 crystal from Alexandria via LeMat-Bulk. Energies are from GGA-PBEsol.

abc: 5.101 7.867 8.078
angles: 112.56 91.64 98.46
Space group P-1 (No. 2)
Inequivalent atoms, fractional coordinates:
Cr1 0.000 0.000 0.000 (multiplicity 1)
Cr2 0.110 0.254 0.766 (multiplicity 2)
Cr3 0.375 0.592 0.350 (multiplicity 2)
P1 0.128 0.198 0.418 (multiplicity 2)
P2 0.364 0.695 0.971 (multiplicity 2)
O1 0.046 0.006 0.258 (multiplicity 2)
O2 0.099 0.750 0.454 (multiplicity 2)
O3 0.202 0.655 0.116 (multiplicity 2)
O4 0.228 0.344 0.348 (multiplicity 2)
O5 0.263 0.837 0.914 (multiplicity 2)
O6 0.330 0.503 0.801 (multiplicity 2)
O7 0.336 0.246 0.962 (multiplicity 2)
O8 0.337 0.176 0.555 (multiplicity 2)

Values from the calculation:
- V: 11.792 Å³/atom
- Uncorrected energy: -8.26 eV/atom
- ρ: 3.60 Mg/m³
- D(E_F): 3.0 states/eV/f.u.
- Formation energy without anion corrections: -1.9290 eV/atom

***

Here is a relaxed SbTe2IrF crystal from Alexandria via LeMat-Bulk. Energies are from GGA-PBEsol.

abc: 5.214 5.214 5.031
angles: 90.00 90.00 90.00
Space group P4/mmm (No. 123)
Inequivalent atoms, fractional coordinates:
Sb1 0.000 0.000 0.000 (multiplicity 1)
Te1 0.000 0.500 0.500 (multiplicity 2)
Ir1 0.000 0.000 0.500 (multiplicity 1)
F1 0.500 0.500 0.000 (multiplicity 1)

Values from the calculation:
- V: 27.349 Å³/atom
- Uncorrected energy: -4.34 eV/atom
- ρ: 7.14 Mg/m³
- D(E_F): 7.3 states/eV/f.u.
- Formation energy without anion corrections: 0.3338 eV/atom

***

Here is a relaxed CoRe3 crystal from Alexandria via LeMat-Bulk. Energies are from GGA-PBEsol.

abc: 5.411 9.321 4.294
angles: 90.00 90.00 90.00
Space group Cmcm (No. 63)
Inequivalent atoms, fractional coordinates:
Co1 0.000 0.077 0.250 (multiplicity 4)
Re1 0.000 0.411 0.750 (multiplicity 4)
Re2 0.241 0.163 0.750 (multiplicity 8)

Values from the calculation:
- V: 13.536 Å³/atom
- Uncorrected energy: -11.95 eV/atom
- Formation enthalpy at 0 K: -0.01 eV per atom
- ρ: 18.94 Mg/m³
- D(E_F): 4.0 states/eV/f.u.

***

Here is a relaxed ScBiH2 crystal from Alexandria via LeMat-Bulk. Energies are from GGA-PBEsol.

abc: 6.020 6.020 6.020
angles: 90.00 90.00 90.00
Space group Fm-3m (No. 225)
Inequivalent atoms, fractional coordinates:
Sc1 0.000 0.000 0.000 (multiplicity 4)
Bi1 0.000 0.000 0.500 (multiplicity 4)
H1 0.250 0.250 0.250 (multiplicity 8)

Values from the calculation:
- V: 13.636 Å³/atom
- Uncorrected energy: -4.21 eV/atom
- ρ: 7.79 Mg/m³
- D(E_F): 1.2 states/eV/f.u.

***

Here is a relaxed TlWAu crystal from Alexandria via LeMat-Bulk. Energies are from GGA-PBEsol.

abc: 6.364 6.364 6.364
angles: 90.00 90.00 90.00
Space group F-43m (No. 216)
Inequivalent atoms, fractional coordinates:
Tl1 0.000 0.000 0.000 (multiplicity 4)
W1 0.250 0.250 0.250 (multiplicity 4)
Au1 0.000 0.000 0.500 (multiplicity 4)

Values from the calculation:
- V: 21.483 Å³/atom
- Uncorrected energy: -5.56 eV/atom
- Excess energy over the best structure of this formula in the dataset: 298.0 meV/atom
- Formation enthalpy at 0 K: 1.23 eV per atom
- ρ: 15.08 Mg/m³
- D(E_F): 4.7 states/eV/f.u.

***

Here is a relaxed HgPb2 crystal from Alexandria via LeMat-Bulk. Energies are from GGA-PBEsol.

abc: 3.415 4.650 10.321
angles: 90.00 90.00 90.00
Space group Immm (No. 71)
Inequivalent atoms, fractional coordinates:
Hg1 0.000 0.000 0.000 (multiplicity 2)
Pb1 0.000 0.000 0.337 (multiplicity 4)

Values from the calculation:
- V: 27.312 Å³/atom
- Uncorrected energy: -2.85 eV/atom
- Excess energy over the best structure of this formula in the dataset: 2.2 meV/atom
- Formation enthalpy at 0 K: 0.00 eV per atom
- ρ: 12.46 Mg/m³
- D(E_F): 1.4 states/eV/f.u.